1.
## YTmZnHg (GGA-PBE)

Data for a relaxed structure of YTmZnHg.

abc: 5.141 5.141 5.141
angles: 60.00 60.00 60.00
Atoms (fractional coordinates):
Y1 0.750 0.750 0.750
Hg1 0.500 0.500 0.500
Zn1 0.000 0.000 0.000
Tm1 0.250 0.250 0.250

Results
- electronic total energy (eV per atom) = -3.538
- energy relative to the elements (eV/atom) = -0.410
- D(E_F) (states/eV/f.u.) = 3.633
- total magnetic moment (μB per cell) = 0.0

2.
## YTmZnHg (GGA-PBE)

Data for a relaxed structure of YTmZnHg.

abc: 3.592 3.592 7.370
angles: 90.00 90.00 90.00
Atoms (fractional coordinates):
Y1 0.500 0.500 0.123
Hg1 0.000 0.000 0.848
Zn1 0.000 0.000 0.365
Tm1 0.500 0.500 0.592

Results
- electronic total energy (eV per atom) = -3.555
- energy relative to the elements (eV/atom) = -0.427
- D(E_F) (states/eV/f.u.) = 3.424
- total magnetic moment (μB per cell) = 0.0